## Nd12GaRh6 (PBE)

Data for a relaxed structure of Nd12GaRh6.

Total moment: 0.0 μB/cell
ΔH_f (0 K): -0.495 eV per atom
Calculated volume: 523.3 Å³ per cell

a b c (Å): 8.793 8.793 8.793
angles (deg): 109.47 109.47 109.47
Fractional coordinates of all 19 atoms:
Nd 0.117 0.302 0.815
Nd 0.185 0.487 0.302
Nd 0.185 0.883 0.698
Nd 0.302 0.185 0.487
Nd 0.302 0.815 0.117
Nd 0.487 0.302 0.185
Nd 0.513 0.698 0.815
Nd 0.698 0.185 0.883
Nd 0.698 0.815 0.513
Nd 0.815 0.117 0.302
Nd 0.815 0.513 0.698
Nd 0.883 0.698 0.185
Ga 0.000 0.000 0.000
Rh 0.132 0.500 0.632
Rh 0.368 0.868 0.500
Rh 0.500 0.368 0.868
Rh 0.500 0.632 0.132
Rh 0.632 0.132 0.500
Rh 0.868 0.500 0.368